{"formula": "PaMnCoO6", "functional": "PBE with a Hubbard U", "state": "optimized geometry", "lattice": [[-2.376, -0.197, 4.164], [2.845, -3.777, 1.445], [1.365, 4.646, 0.998]], "species": ["Pa", "Mn", "Co", "O", "O", "O", "O", "O", "O"], "frac_coords": [[0.000, 0.333, 0.667], [0.500, 0.000, 0.000], [0.500, 0.667, 0.333], [0.722, 0.688, 0.666], [0.722, 0.334, 0.021], [0.722, 0.979, 0.312], [0.278, 0.334, 0.312], [0.278, 0.688, 0.021], [0.278, 0.979, 0.666]], "total_magnetization_mub_per_fu": 2.95, "energy_ev_per_atom": -7.85, "sg": "No. 149"}